# TaPH3

A relaxed structure of TaPH3 (GGA-PBE, the Alexandria database).

Lattice parameters (Å, degrees): 3.5927 3.5927 3.5927 90.00 90.00 90.00
Last column: nearest neighbours and their distance in Å.
Space group Pm-3m (No. 221)
Asymmetric unit:
Ta (0.0000, 0.0000, 0.0000) (multiplicity 1)  6 H 1.80
P (0.5000, 0.5000, 0.5000) (multiplicity 1)  12 H 2.54
H (0.0000, 0.0000, 0.5000) (multiplicity 3)  2 Ta 1.80

Calculated values
The total DFT energy (no corrections) comes out at -4.99 eV per atom. The calculation puts the energy above the most stable polymorph in this dataset at 0 meV per atom. For the density of states at the Fermi level, the calculation gives 0.429 states/eV per atom.